Computed, not measured: MgAlTcTe after structural relaxation at the PBE-GGA level of DFT.

Structure (extended XYZ):
```
4
Lattice="0.000 3.295 3.295 3.295 0.000 3.295 3.295 3.295 0.000" Properties=species:S:1:pos:R:3 pbc="T T T"
Mg 0.000 0.000 0.000
Al 4.942 4.942 4.942
Tc 3.295 3.295 3.295
Te 1.647 1.647 1.647
```

Properties
Its symmetry is F-43m. The calculation puts the energy above the most stable polymorph in this dataset at 0.0000 eV per atom. Its calculated density is 6.43 g/cm3.

***

Computed, not measured: PrO after structural relaxation at the PBE-GGA level of DFT.

Structure (extended XYZ):
```
2
Lattice="0.000 2.781 2.781 2.781 0.000 2.781 2.781 2.781 0.000" Properties=species:S:1:pos:R:3 pbc="T T T"
Pr 0.000 0.000 0.000
O 1.390 1.390 1.390
```

Properties
Its symmetry is F-43m. The calculation puts the energy above the most stable polymorph in this dataset at 0.1895 eV per atom. Its calculated density is 6.06 g/cm3.

***

Computed, not measured: TaAlCuAu after structural relaxation at the PBE-GGA level of DFT.

Structure (extended XYZ):
```
4
Lattice="0.000 3.179 3.179 3.179 0.000 3.179 3.179 3.179 0.000" Properties=species:S:1:pos:R:3 pbc="T T T"
Ta 0.000 0.000 0.000
Al 1.589 1.589 1.589
Cu 3.179 3.179 3.179
Au 4.768 4.768 4.768
```

Properties
Its symmetry is F-43m. The calculation puts the energy above the most stable polymorph in this dataset at 0.0666 eV per atom. Its calculated density is 12.11 g/cm3.

***

Computed, not measured: TbSnAuSe3 after structural relaxation at the PBE-GGA level of DFT.

Structure (extended XYZ):
```
12
Lattice="2.029 -6.878 0.000 2.029 6.878 0.000 0.000 0.000 10.641" Properties=species:S:1:pos:R:3 pbc="T T T"
Tb 0.000 0.000 0.000
Tb 0.000 0.000 5.320
Sn 2.029 3.686 7.980
Sn 2.029 -3.686 2.660
Au 2.029 0.466 2.660
Au 2.029 -0.466 7.980
Se 2.029 5.565 2.660
Se 2.029 2.029 0.569
Se 2.029 2.029 4.751
Se 2.029 -2.029 5.889
Se 2.029 -2.029 10.071
Se 2.029 -5.565 7.980
```

Properties
Its symmetry is Cmcm. The calculation puts the energy above the most stable polymorph in this dataset at 0.0569 eV per atom. Its calculated density is 7.95 g/cm3.

***

Computed, not measured: TlPIrO after structural relaxation at the PBE-GGA level of DFT.

Structure (extended XYZ):
```
8
Lattice="4.013 0.000 0.000 0.000 4.013 0.000 0.000 0.000 9.152" Properties=species:S:1:pos:R:3 pbc="T T T"
Tl 1.003 1.003 1.098
Tl 3.010 3.010 8.053
P 1.003 1.003 5.836
P 3.010 3.010 3.315
Ir 1.003 3.010 4.576
Ir 3.010 1.003 4.576
O 1.003 3.010 0.000
O 3.010 1.003 0.000
```

Properties
Its symmetry is P4/nmm. The calculation puts the energy above the most stable polymorph in this dataset at 0.0000 eV per atom. Its calculated density is 10.00 g/cm3.

***

Computed, not measured: RbHfCuS3 after structural relaxation at the PBE-GGA level of DFT.

Structure (extended XYZ):
```
24
Lattice="9.819 0.000 0.000 0.000 3.764 0.000 0.000 0.000 14.197" Properties=species:S:1:pos:R:3 pbc="T T T"
Rb 2.436 0.941 0.081
Rb 2.474 2.823 7.179
Rb 7.345 0.941 7.018
Rb 7.384 2.823 14.116
Hf 0.132 2.823 3.531
Hf 4.778 0.941 10.629
Hf 5.042 2.823 3.568
Hf 9.687 0.941 10.666
Cu 2.364 2.823 11.163
Cu 2.546 0.941 4.065
Cu 7.273 2.823 10.132
Cu 7.455 0.941 3.034
S 0.397 2.823 12.349
S 0.566 0.941 5.229
S 2.343 0.941 9.803
S 2.566 2.823 2.705
S 4.344 2.823 12.328
S 4.512 0.941 5.250
S 5.307 2.823 8.947
S 5.475 0.941 1.869
S 7.253 0.941 11.492
S 7.476 2.823 4.394
S 9.253 2.823 8.967
S 9.422 0.941 1.848
```

Properties
Its symmetry is Pnma. The value obtained for the uncorrected energy is -5.77 eV per atom. Its calculated density is 5.36 g/cm3.

***

Computed, not measured: YTc4Ge2 after structural relaxation at the PBE-GGA level of DFT.

Structure (extended XYZ):
```
7
Lattice="2.065 -7.167 0.000 2.065 7.167 0.000 0.000 0.000 4.091" Properties=species:S:1:pos:R:3 pbc="T T T"
Y 0.000 0.000 0.000
Tc 2.065 4.409 2.046
Tc 2.065 2.836 0.000
Tc 2.065 -2.836 0.000
Tc 2.065 -4.409 2.046
Ge 2.065 1.251 2.046
Ge 2.065 -1.251 2.046
```

Properties
Its symmetry is Cmmm. The value obtained for the uncorrected energy is -8.56 eV per atom. Its calculated density is 8.59 g/cm3.

***

Computed, not measured: PrZnRe after structural relaxation at the PBE-GGA level of DFT.

Structure (extended XYZ):
```
3
Lattice="0.000 3.402 3.402 3.402 0.000 3.402 3.402 3.402 0.000" Properties=species:S:1:pos:R:3 pbc="T T T"
Pr 0.000 0.000 0.000
Zn 1.701 1.701 1.701
Re 5.104 5.104 5.104
```

Properties
Its symmetry is F-43m. The calculation puts the energy above the most stable polymorph in this dataset at 0.6426 eV per atom. The calculation puts the formation energy at 1.405 eV/atom. Its calculated density is 8.27 g/cm3.

***

Please write out number 2 again, unchanged.
Computed, not measured: PrO after structural relaxation at the PBE-GGA level of DFT.

Structure (extended XYZ):
```
2
Lattice="0.000 2.781 2.781 2.781 0.000 2.781 2.781 2.781 0.000" Properties=species:S:1:pos:R:3 pbc="T T T"
Pr 0.000 0.000 0.000
O 1.390 1.390 1.390
```

Properties
Its symmetry is F-43m. The calculation puts the energy above the most stable polymorph in this dataset at 0.1895 eV per atom. Its calculated density is 6.06 g/cm3.

***

> Look up the calculated density of the third one.

12.11 g/cm3